Entry 1:
Material: Ca5Ag
Method: DFT, PBE
State: relaxed

Computed properties:
- DFT total energy (eV per atom) = -2.165
- polymorph energy (0 for the lowest one) (eV per formula unit) = 0.47
- calculated volume (Å³/f.u.) = 212.9

Cell and atoms, written as extended XYZ:
```
6
Lattice="2.257 -8.269 0.000 2.257 8.269 0.000 0.000 0.000 5.704" Properties=species:S:1:pos:R:3 pbc="T T T"
Ca 0.000 0.000 0.000
Ca 2.257 5.842 2.852
Ca 2.257 2.773 0.000
Ca 2.257 -2.773 0.000
Ca 2.257 -5.842 2.852
Ag 2.257 0.000 2.852
```

***

Entry 2:
Material: Ca3Ag4
Method: DFT, PBE
State: relaxed

Computed properties:
- DFT total energy (eV per atom) = -2.779
- polymorph energy (0 for the lowest one) (eV per formula unit) = 0.00
- calculated volume (Å³/f.u.) = 174.2

Cell and atoms, written as extended XYZ:
```
14
Lattice="7.050 4.070 2.024 -7.050 4.070 2.024 0.000 -8.140 2.024" Properties=species:S:1:pos:R:3 pbc="T T T"
Ca -1.810 -2.019 1.418
Ca -0.843 2.577 1.418
Ca 2.654 -0.558 1.418
Ca -2.654 0.558 4.655
Ca 0.843 -2.577 4.655
Ca 1.810 2.019 4.655
Ag 0.000 0.000 0.000
Ag -3.519 0.682 1.680
Ag 1.169 -3.389 1.680
Ag -2.350 -2.706 4.392
Ag 0.000 0.000 3.036
Ag 2.350 2.706 1.680
Ag -1.169 3.389 4.392
Ag 3.519 -0.682 4.392
```

***

Entry 3:
Material: Ca2Ag
Method: DFT, PBE
State: relaxed

Computed properties:
- DFT total energy (eV per atom) = -2.472
- calculated volume (Å³/f.u.) = 94.4

Cell and atoms, written as extended XYZ:
```
6
Lattice="13.723 -1.841 0.000 13.723 1.841 0.000 -0.003 0.000 3.736" Properties=species:S:1:pos:R:3 pbc="T T T"
Ca 1.696 0.000 0.930
Ca 5.359 0.000 0.933
Ca 22.084 0.000 2.803
Ca 25.747 0.000 2.806
Ag 10.189 0.000 0.938
Ag 17.254 0.000 2.798
```

***

Entry 4:
Material: CaAg
Method: DFT, PBE
State: relaxed

Computed properties:
- DFT total energy (eV per atom) = -2.640
- calculated volume (Å³/f.u.) = 54.9

Cell and atoms, written as extended XYZ:
```
6
Lattice="-2.233 5.931 3.110 2.233 -5.931 3.110 2.233 5.931 -3.110" Properties=species:S:1:pos:R:3 pbc="T T T"
Ca 0.000 0.000 0.000
Ca 2.233 -2.330 1.771
Ca 2.233 2.330 1.771
Ag 0.000 0.000 3.118
Ag 0.000 4.503 1.596
Ag 0.000 7.360 1.596
```

***

Entry 5:
Material: Ca5Ag3
Method: DFT, PBE
State: relaxed

Computed properties:
- DFT total energy (eV per atom) = -2.582
- polymorph energy (0 for the lowest one) (eV per formula unit) = 0.15
- calculated volume (Å³/f.u.) = 239.3

Cell and atoms, written as extended XYZ:
```
16
Lattice="9.068 0.000 0.000 -4.534 7.853 0.000 0.000 0.000 6.719" Properties=species:S:1:pos:R:3 pbc="T T T"
Ca -1.151 1.993 1.680
Ca -3.383 5.860 5.039
Ca 2.302 0.000 1.680
Ca 1.151 1.993 5.039
Ca 0.000 5.236 0.000
Ca 0.000 5.236 3.360
Ca 4.534 2.618 0.000
Ca 4.534 2.618 3.360
Ca 6.767 0.000 5.039
Ca 3.383 5.860 1.680
Ag -1.787 3.096 5.039
Ag -2.747 4.758 1.680
Ag 3.575 0.000 5.039
Ag 1.787 3.096 1.680
Ag 5.494 0.000 1.680
Ag 2.747 4.758 5.039
```

***

Entry 6:
Material: Ca3Ag
Method: DFT, PBE
State: relaxed

Computed properties:
- DFT total energy (eV per atom) = -2.195
- polymorph energy (0 for the lowest one) (eV per formula unit) = 0.86
- calculated volume (Å³/f.u.) = 131.3

Cell and atoms, written as extended XYZ:
```
8
Lattice="6.404 0.000 0.000 0.000 6.404 0.000 0.000 0.000 6.404" Properties=species:S:1:pos:R:3 pbc="T T T"
Ca 0.000 1.601 3.202
Ca 0.000 4.803 3.202
Ca 1.601 3.202 0.000
Ca 3.202 0.000 1.601
Ca 3.202 0.000 4.803
Ca 4.803 3.202 0.000
Ag 0.000 0.000 0.000
Ag 3.202 3.202 3.202
```

***

Entry 7:
Material: CaAg
Method: DFT, PBE
State: relaxed

Computed properties:
- DFT total energy (eV per atom) = -2.592
- calculated volume (Å³/f.u.) = 62.6

Cell and atoms, written as extended XYZ:
```
8
Lattice="4.700 0.000 0.000 -2.350 4.071 0.000 0.000 0.000 13.091" Properties=species:S:1:pos:R:3 pbc="T T T"
Ca 0.000 2.714 1.496
Ca 0.000 2.714 5.050
Ca 2.350 1.357 8.041
Ca 2.350 1.357 11.595
Ag 0.000 0.000 3.273
Ag 0.000 0.000 9.818
Ag 0.000 2.714 9.818
Ag 2.350 1.357 3.273
```

***

Entry 8:
Material: Ca2Ag17
Method: DFT, PBE
State: relaxed

Computed properties:
- DFT total energy (eV per atom) = -2.834
- calculated volume (Å³/f.u.) = 383.5

Cell and atoms, written as extended XYZ:
```
19
Lattice="4.812 2.778 4.782 -4.812 2.778 4.782 0.000 -5.556 4.782" Properties=species:S:1:pos:R:3 pbc="T T T"
Ca 0.000 0.000 2.316
Ca 0.000 0.000 12.030
Ag -2.406 -1.389 4.782
Ag 0.000 -2.798 4.576
Ag -2.423 1.399 4.576
Ag -1.458 -2.525 7.173
Ag -2.916 0.000 7.173
Ag -2.423 -1.399 9.770
Ag 0.000 0.000 5.763
Ag -2.406 1.389 9.564
Ag 1.458 -2.525 7.173
Ag 0.000 2.778 4.782
Ag -1.458 2.525 7.173
Ag 0.000 0.000 8.584
Ag 2.423 1.399 4.576
Ag 2.916 0.000 7.173
Ag 1.458 2.525 7.173
Ag 2.423 -1.399 9.770
Ag 0.000 2.798 9.770
```

***

Entry 9:
Material: Ca5Ag3
Method: DFT, PBE
State: relaxed

Computed properties:
- DFT total energy (eV per atom) = -2.494
- polymorph energy (0 for the lowest one) (eV per formula unit) = 0.86
- calculated volume (Å³/f.u.) = 236.5

Cell and atoms, written as extended XYZ:
```
8
Lattice="4.176 -5.506 0.000 4.176 5.506 0.000 0.000 0.000 5.143" Properties=species:S:1:pos:R:3 pbc="T T T"
Ca 0.000 0.000 0.000
Ca 2.088 2.753 0.000
Ca 2.419 0.000 2.571
Ca 2.088 -2.753 0.000
Ca 5.933 0.000 2.571
Ag 4.176 3.302 2.571
Ag 4.176 0.000 0.000
Ag 4.176 -3.302 2.571
```

***

Entry 10:
Material: CaAg
Method: DFT, PBE
State: relaxed

Computed properties:
- DFT total energy (eV per atom) = -2.569
- calculated volume (Å³/f.u.) = 59.0

Cell and atoms, written as extended XYZ:
```
2
Lattice="0.000 3.090 3.090 3.090 0.000 3.090 3.090 3.090 0.000" Properties=species:S:1:pos:R:3 pbc="T T T"
Ca 0.000 0.000 0.000
Ag 3.090 3.090 3.090
```

***

Entry 11:
Material: CaAg
Method: DFT, PBE
State: relaxed

Computed properties:
- DFT total energy (eV per atom) = -2.523
- calculated volume (Å³/f.u.) = 48.4

Cell and atoms, written as extended XYZ:
```
4
Lattice="0.000 3.644 3.644 3.644 0.000 3.644 3.644 3.644 0.000" Properties=species:S:1:pos:R:3 pbc="T T T"
Ca 0.911 0.911 0.911
Ca 6.377 6.377 6.377
Ag 2.733 2.733 2.733
Ag 4.555 4.555 4.555
```

***

Entry 12:
Material: Ca3Ag
Method: DFT, PBE
State: relaxed

Computed properties:
- DFT total energy (eV per atom) = -2.199
- polymorph energy (0 for the lowest one) (eV per formula unit) = 0.84
- calculated volume (Å³/f.u.) = 128.0

Cell and atoms, written as extended XYZ:
```
4
Lattice="0.000 4.000 4.000 4.000 0.000 4.000 4.000 4.000 0.000" Properties=species:S:1:pos:R:3 pbc="T T T"
Ca 0.000 0.000 0.000
Ca 2.000 2.000 2.000
Ca 6.000 6.000 6.000
Ag 4.000 4.000 4.000
```

***

Entry 13:
Material: CaAg3
Method: DFT, PBE
State: relaxed

Computed properties:
- DFT total energy (eV per atom) = -2.857
- calculated volume (Å³/f.u.) = 87.8

Cell and atoms, written as extended XYZ:
```
12
Lattice="4.964 -2.834 0.000 4.964 2.834 0.000 -3.329 0.000 9.364" Properties=species:S:1:pos:R:3 pbc="T T T"
Ca 0.000 0.000 0.000
Ca -0.012 0.000 3.963
Ca 6.612 0.000 5.401
Ag 2.471 1.429 2.361
Ag -0.025 0.000 9.358
Ag 1.627 0.000 7.009
Ag 4.128 1.429 7.003
Ag 3.300 0.000 4.682
Ag 2.471 -1.429 2.361
Ag 4.973 0.000 2.355
Ag 6.624 0.000 0.006
Ag 4.128 -1.429 7.003
```

***

Entry 14:
Material: Ca3Ag4
Method: DFT, PBE
State: relaxed

Computed properties:
- DFT total energy (eV per atom) = -2.689
- polymorph energy (0 for the lowest one) (eV per formula unit) = 0.63
- calculated volume (Å³/f.u.) = 176.2

Cell and atoms, written as extended XYZ:
```
7
Lattice="-1.873 1.873 12.560 1.873 -1.873 12.560 1.873 1.873 -12.560" Properties=species:S:1:pos:R:3 pbc="T T T"
Ca 0.000 0.000 0.000
Ca 0.000 0.000 7.733
Ca 0.000 0.000 17.387
Ag 0.000 0.000 3.120
Ag 0.000 0.000 10.837
Ag 0.000 0.000 14.283
Ag 0.000 0.000 22.000
```

***

Entry 15:
Material: Ca5Ag
Method: DFT, PBE
State: relaxed

Computed properties:
- DFT total energy (eV per atom) = -2.244
- polymorph energy (0 for the lowest one) (eV per formula unit) = 0.00
- calculated volume (Å³/f.u.) = 216.6

Cell and atoms, written as extended XYZ:
```
6
Lattice="3.852 0.000 0.000 0.000 3.852 0.000 0.000 0.000 14.597" Properties=species:S:1:pos:R:3 pbc="T T T"
Ca 0.000 0.000 0.000
Ca 0.000 0.000 5.550
Ca 0.000 0.000 9.046
Ca 1.926 1.926 2.764
Ca 1.926 1.926 11.833
Ag 1.926 1.926 7.298
```

***

Entry 16:
Material: Ca3Ag2
Method: DFT, PBE
State: relaxed

Computed properties:
- DFT total energy (eV per atom) = -2.633
- polymorph energy (0 for the lowest one) (eV per formula unit) = 0.00
- calculated volume (Å³/f.u.) = 145.5

Cell and atoms, written as extended XYZ:
```
10
Lattice="8.184 0.000 0.000 0.000 8.184 0.000 0.000 0.000 4.344" Properties=species:S:1:pos:R:3 pbc="T T T"
Ca 0.000 0.000 0.000
Ca 1.345 2.747 2.172
Ca 2.747 6.838 2.172
Ca 4.092 4.092 0.000
Ca 5.437 1.345 2.172
Ca 6.838 5.437 2.172
Ag 1.045 5.137 0.000
Ag 3.047 1.045 0.000
Ag 5.137 7.139 0.000
Ag 7.139 3.047 0.000
```

***

Entry 17:
Material: Ca4Ag
Method: DFT, PBE
State: relaxed

Computed properties:
- DFT total energy (eV per atom) = -2.275
- polymorph energy (0 for the lowest one) (eV per formula unit) = 0.05
- calculated volume (Å³/f.u.) = 185.9

Cell and atoms, written as extended XYZ:
```
10
Lattice="0.000 6.845 4.003 6.784 0.000 4.003 6.784 6.845 0.000" Properties=species:S:1:pos:R:3 pbc="T T T"
Ca 7.864 1.633 4.003
Ca 4.472 1.789 2.002
Ca 8.420 5.765 2.529
Ca 2.312 5.056 2.002
Ca 5.148 7.926 2.529
Ca 5.028 4.503 4.530
Ca 8.540 9.187 4.530
Ca 5.705 12.057 4.003
Ag 6.784 6.845 5.266
Ag 10.176 10.268 7.267
```

***

Entry 18:
Material: Ca4Ag
Method: DFT, PBE
State: relaxed

Computed properties:
- DFT total energy (eV per atom) = -2.101
- polymorph energy (0 for the lowest one) (eV per formula unit) = 0.92
- calculated volume (Å³/f.u.) = 191.3

Cell and atoms, written as extended XYZ:
```
5
Lattice="-3.630 3.630 3.630 3.630 -3.630 3.630 3.630 3.630 -3.630" Properties=species:S:1:pos:R:3 pbc="T T T"
Ca 1.815 1.815 -1.815
Ca 1.815 -1.815 1.815
Ca -1.815 1.815 1.815
Ca 1.815 1.815 1.815
Ag 0.000 0.000 0.000
```

***

Entry 19:
Material: CaAg
Method: DFT, PBE
State: relaxed

Computed properties:
- DFT total energy (eV per atom) = -2.564
- calculated volume (Å³/f.u.) = 58.2

Cell and atoms, written as extended XYZ:
```
4
Lattice="4.058 0.000 0.000 -2.029 3.515 0.000 0.000 0.000 8.158" Properties=species:S:1:pos:R:3 pbc="T T T"
Ca 0.000 0.000 0.000
Ca 0.000 0.000 4.079
Ag 0.000 2.343 2.040
Ag 2.029 1.172 6.119
```

***

Entry 20:
Material: CaAg
Method: DFT, PBE
State: relaxed

Computed properties:
- DFT total energy (eV per atom) = -2.596
- calculated volume (Å³/f.u.) = 58.9

Cell and atoms, written as extended XYZ:
```
4
Lattice="2.391 1.380 5.950 -2.391 1.380 5.950 0.000 -2.760 5.950" Properties=species:S:1:pos:R:3 pbc="T T T"
Ca 0.000 0.000 1.699
Ca 0.000 0.000 16.151
Ag 0.000 0.000 5.772
Ag 0.000 0.000 12.078
```